Entry 1:
Entry from Alexandria via LeMat-Bulk: SrAlCuAu3 after structural relaxation (PBE).

Structure (CIF):
```
data_SrAlCuAu3
_space_group_name_H-M_alt 'C m c m'
_space_group_IT_number 63
_space_group_name_Hall '-C 2c 2'
_cell_length_a 6.653
_cell_length_b 11.902
_cell_length_c 6.811
_cell_angle_alpha 90.00
_cell_angle_beta 90.00
_cell_angle_gamma 90.00
loop_
_atom_site_label
_atom_site_fract_x
_atom_site_fract_y
_atom_site_fract_z
Sr1 0.000 0.214 0.250
Al1 0.000 0.106 0.750
Cu1 0.000 0.469 0.250
Au1 0.000 0.313 0.750
Au2 0.221 0.000 0.000
```

- Calculated volume: 539.4 Å³ per cell
- Energy of formation from the pure elements: -35.6 kJ per mole of atoms
- Density of states at the Fermi level: 3.0 states/eV/f.u.

Entry 2:
Entry from Alexandria via LeMat-Bulk: Tb12Sb6C after structural relaxation (PBE).

Structure (CIF):
```
data_Tb12Sb6C
_space_group_name_H-M_alt 'R -3'
_space_group_IT_number 148
_space_group_name_Hall '-R 3'
_cell_length_a 12.8431
_cell_length_b 12.8431
_cell_length_c 12.0142
_cell_angle_alpha 90.00
_cell_angle_beta 90.00
_cell_angle_gamma 120.00
loop_
_atom_site_label
_atom_site_fract_x
_atom_site_fract_y
_atom_site_fract_z
Tb1 0.0340 0.1938 0.3876
Tb2 0.0566 0.1792 0.8803
Sb1 0.0421 0.4296 0.3119
C1 0.0000 0.0000 0.0000
```

- Calculated volume: 1716.2 Å³ per cell
- ΔE_f (raw): -0.6690 eV/atom
- Density of states at the Fermi level: 11.4 states/eV/f.u.

Entry 3:
Entry from Alexandria via LeMat-Bulk: Zr2SiNi after structural relaxation (PBE).

Structure (CIF):
```
data_Zr2SiNi
_space_group_name_H-M_alt 'P 4 m m'
_space_group_IT_number 99
_space_group_name_Hall 'P 4 -2'
_cell_length_a 3.010
_cell_length_b 3.010
_cell_length_c 7.539
_cell_angle_alpha 90.00
_cell_angle_beta 90.00
_cell_angle_gamma 90.00
loop_
_atom_site_label
_atom_site_fract_x
_atom_site_fract_y
_atom_site_fract_z
Zr1 0.000 0.000 0.000
Zr2 0.500 0.500 0.330
Si1 0.500 0.500 0.736
Ni1 0.000 0.000 0.596
```

- Calculated volume: 68.3 Å³ per cell
- ΔE_f (raw): -0.3634 eV/atom
- Density of states at the Fermi level: 4.0 states/eV/f.u.

Entry 4:
Entry from Alexandria via LeMat-Bulk: Nd12RuAu6 after structural relaxation (PBE).

Structure (CIF):
```
data_Nd12RuAu6
_space_group_name_H-M_alt 'R -3'
_space_group_IT_number 148
_space_group_name_Hall '-R 3'
_cell_length_a 12.9505
_cell_length_b 12.9505
_cell_length_c 12.6049
_cell_angle_alpha 90.00
_cell_angle_beta 90.00
_cell_angle_gamma 120.00
loop_
_atom_site_label
_atom_site_fract_x
_atom_site_fract_y
_atom_site_fract_z
Nd1 0.0298 0.2095 0.3955
Nd2 0.0545 0.2005 0.8824
Ru1 0.0000 0.0000 0.0000
Au1 0.0478 0.2745 0.6445
```

- Calculated volume: 1830.8 Å³ per cell
- Energy of formation from the pure elements: -40.0 kJ per mole of atoms
- Density of states at the Fermi level: 23.0 states/eV/f.u.